Record 1
DFT (PBE) results for LaAgSb2Rh after structural relaxation.

Cell: 5.2356 5.0196 5.2356 Å, 90.00 90.00 90.00°
Fractional coordinates of all 5 atoms:
1 Sb 0.5000 0.0000 0.0000
2 Ag 0.0000 0.0000 0.0000
3 Rh 0.0000 0.5000 0.0000
4 Sb 0.0000 0.0000 0.5000
5 La 0.5000 0.5000 0.5000

Properties
ΔE_f (raw)   0.1761 eV per atom

Record 2
DFT (PBE) results for LaAgSbRh2 after structural relaxation.

Cell: 5.0102 4.9354 5.0102 Å, 90.00 90.00 90.00°
Each line ends with the local moment (μB).
Fractional coordinates of all 5 atoms:
1 Rh 0.5000 0.0000 0.0000  0.29
2 Rh 0.0000 0.0000 0.5000  0.35
3 La 0.5000 0.5000 0.5000  -0.02
4 Ag 0.0000 0.0000 0.0000  0.00
5 Sb 0.0000 0.5000 0.0000  0.03

Properties
ΔE_f (raw)   0.4189 eV per atom

Record 3
DFT (PBE) results for La2AgSb3Rh4 after structural relaxation.

Cell: 4.3819 4.3819 11.2316 Å, 90.00 90.00 90.00°
Fractional coordinates of all 10 atoms:
1 Rh 0.0000 0.0000 0.0000
2 La 0.5000 0.0000 0.2608
3 Rh 0.5000 0.0000 0.6422
4 Sb 0.0000 0.5000 0.1314
5 Sb 0.5000 0.0000 0.8686
6 Rh 0.0000 0.5000 0.3578
7 Rh 0.5000 0.5000 0.0000
8 Ag 0.5000 0.5000 0.5000
9 La 0.0000 0.5000 0.7392
10 Sb 0.0000 0.0000 0.5000

Properties
ΔE_f (raw)   -0.7524 eV per atom

Record 4
DFT (PBE) results for LaAgSnRh after structural relaxation.

Cell: 4.9856 4.9856 4.9856 Å, 60.00 60.00 60.00°
Fractional coordinates of all 4 atoms:
1 Rh 0.0000 0.0000 0.0000
2 Ag 0.5000 0.5000 0.5000
3 Sn 0.2500 0.2500 0.2500
4 La 0.7500 0.7500 0.7500

Properties
Energy relative to the elements   -0.440 eV per atom

Record 5
DFT (PBE) results for SrLaAgRh after structural relaxation.

Cell: 5.2552 5.2552 5.2552 Å, 60.00 60.00 60.00°
Fractional coordinates of all 4 atoms:
1 La 0.0000 0.0000 0.0000
2 Ag 0.2500 0.2500 0.2500
3 Rh 0.7500 0.7500 0.7500
4 Sr 0.5000 0.5000 0.5000

Properties
Energy relative to the elements   -0.332 eV per atom

Record 6
DFT (PBE) results for LaThAgRh after structural relaxation.

Cell: 5.1922 5.1922 5.1922 Å, 60.00 60.00 60.00°
Fractional coordinates of all 4 atoms:
1 La 0.5000 0.5000 0.5000
2 Th 0.0000 0.0000 0.0000
3 Rh 0.7500 0.7500 0.7500
4 Ag 0.2500 0.2500 0.2500

Properties
Energy relative to the elements   -0.376 eV per atom

Record 7
DFT (PBE) results for LaTlAg2Rh after structural relaxation.

Cell: 5.1417 5.0606 5.1417 Å, 90.00 90.00 90.00°
Fractional coordinates of all 5 atoms:
1 Ag 0.0000 0.0000 0.5000
2 Rh 0.0000 0.0000 0.0000
3 Ag 0.5000 0.0000 0.0000
4 Tl 0.0000 0.5000 0.0000
5 La 0.5000 0.5000 0.5000

Properties
Energy relative to the elements   0.169 eV per atom

Record 8
DFT (PBE) results for LaTlAgRh after structural relaxation.

Cell: 5.0221 5.0221 5.0221 Å, 60.00 60.00 60.00°
Fractional coordinates of all 4 atoms:
1 Ag 0.2500 0.2500 0.2500
2 Rh 0.7500 0.7500 0.7500
3 La 0.0000 0.0000 0.0000
4 Tl 0.5000 0.5000 0.5000

Properties
Energy relative to the elements   -0.255 eV per atom

Record 9
DFT (PBE) results for La2ZnAgRh after structural relaxation.

Cell: 4.2987 7.7777 7.8679 Å, 109.46 90.00 90.00°
Fractional coordinates of all 10 atoms:
1 La 0.7500 0.7203 0.0376
2 Zn 0.7500 0.4491 0.3399
3 Zn 0.2500 0.5509 0.6601
4 Ag 0.7500 0.3334 0.6648
5 La 0.2500 0.2797 0.9624
6 Ag 0.2500 0.6666 0.3352
7 La 0.2500 0.1291 0.3543
8 Rh 0.7500 0.1244 0.1062
9 Rh 0.2500 0.8756 0.8938
10 La 0.7500 0.8709 0.6457

Properties
Excess energy over the best structure of this formula in the dataset   0.0 meV/atom
Energy relative to the elements   -0.495 eV per atom

Record 10
DFT (PBE) results for La2ZnAgRh after structural relaxation.

Cell: 5.4558 5.4558 4.8702 Å, 90.00 90.00 90.00°
Fractional coordinates of all 5 atoms:
1 Zn 0.0000 0.0000 0.5000
2 Ag 0.5000 0.5000 0.5000
3 La 0.0000 0.5000 0.0000
4 Rh 0.0000 0.0000 0.0000
5 La 0.5000 0.0000 0.0000

Properties
Excess energy over the best structure of this formula in the dataset   155.9 meV/atom
Energy relative to the elements   -0.339 eV per atom

Record 11
DFT (PBE) results for La2AgRu after structural relaxation.

Cell: 6.4911 6.4911 4.9435 Å, 67.60 67.60 31.88°
Fractional coordinates of all 4 atoms:
1 Ru 0.5013 0.5013 0.4987
2 La 0.9975 0.9975 0.0026
3 La 0.1992 0.1992 0.3006
4 Ag 0.8020 0.8020 0.6981

Properties
Energy relative to the elements   -0.099 eV per atom

Record 12
DFT (PBE) results for La4AgRu2 after structural relaxation.

Cell: 7.4300 8.6337 7.7410 Å, 125.33 95.29 96.34°
Fractional coordinates of all 14 atoms:
1 La 0.7947 0.4586 0.0994
2 La 0.4715 0.1171 0.1689
3 Ag 0.0899 0.1494 0.9903
4 La 0.9431 0.2737 0.4259
5 La 0.7766 0.9463 0.5870
6 Ru 0.6344 0.2811 0.6301
7 La 0.3219 0.1098 0.6268
8 La 0.4353 0.5871 0.7457
9 La 0.9359 0.7483 0.9504
10 Ru 0.6313 0.8666 0.2194
11 La 0.3450 0.5821 0.2089
12 Ru 0.6878 0.5101 0.4379
13 Ru 0.0801 0.3887 0.8295
14 Ag 0.1025 0.7312 0.5796

Properties
Excess energy over the best structure of this formula in the dataset   20.9 meV/atom
Energy relative to the elements   -0.235 eV per atom

Record 13
DFT (PBE) results for La4AgRu2 after structural relaxation.

Cell: 7.3370 7.2401 8.6661 Å, 107.88 108.30 105.17°
Fractional coordinates of all 14 atoms:
1 La 0.6471 0.9051 0.1931
2 La 0.0278 0.4426 0.3120
3 La 0.1845 0.7641 0.7965
4 La 0.5951 0.8112 0.6082
5 Ru 0.3693 0.4326 0.5592
6 La 0.7370 0.4529 0.8918
7 Ru 0.2408 0.6049 0.0796
8 Ru 0.9112 0.7752 0.4204
9 Ag 0.9510 0.0553 0.9830
10 La 0.4658 0.3807 0.1880
11 La 0.1381 0.2176 0.7035
12 Ru 0.5600 0.1233 0.9407
13 La 0.2041 0.9621 0.3070
14 Ag 0.7181 0.3224 0.5170

Properties
Excess energy over the best structure of this formula in the dataset   0.0 meV/atom
Energy relative to the elements   -0.256 eV per atom

Record 14
DFT (PBE) results for La2AgRu after structural relaxation.

Cell: 8.0177 8.0177 6.5410 Å, 52.20 52.20 90.00°
Fractional coordinates of all 8 atoms:
1 Ru 0.5000 0.5000 0.0000
2 La 0.1709 0.6250 0.2500
3 La 0.3750 0.4209 0.7500
4 Ru 0.2500 0.7500 0.5000
5 Ag 0.0000 0.0000 0.0000
6 Ag 0.7500 0.2500 0.5000
7 La 0.8750 0.8291 0.7500
8 La 0.5791 0.1250 0.2500

Properties
Energy relative to the elements   -0.041 eV per atom

Record 15
DFT (PBE) results for LaAg2Ru after structural relaxation.

Cell: 5.9508 5.9508 4.5295 Å, 67.70 67.70 33.69°
Fractional coordinates of all 4 atoms:
1 La 0.7500 0.7500 0.7500
2 Ag 0.9770 0.9770 0.0230
3 Ag 0.5230 0.5230 0.4770
4 Ru 0.2500 0.2500 0.2500

Properties
Excess energy over the best structure of this formula in the dataset   0.0 meV/atom
Energy relative to the elements   -0.008 eV per atom

Record 16
DFT (PBE) results for LaAg2Ru after structural relaxation.

Cell: 4.9726 3.4245 5.2374 Å, 72.25 90.00 90.00°
Fractional coordinates of all 4 atoms:
1 Ag 0.0000 0.9034 0.9671
2 Ag 0.0000 0.5966 0.5329
3 Ru 0.5000 0.7500 0.7500
4 La 0.5000 0.2500 0.2500

Properties
Excess energy over the best structure of this formula in the dataset   115.8 meV/atom
Energy relative to the elements   0.108 eV per atom

Record 17
DFT (PBE) results for La6Ag3Ru after structural relaxation.

Cell: 7.5532 7.9911 10.7686 Å, 90.00 82.57 90.00°
Fractional coordinates of all 20 atoms:
1 La 0.3617 0.8125 0.4263
2 La 0.1669 0.0457 0.7548
3 La 0.8617 0.6875 0.9263
4 La 0.8012 0.6674 0.5621
5 La 0.3331 0.5457 0.7452
6 La 0.1988 0.3326 0.4379
7 Ru 0.5000 0.5000 0.5000
8 La 0.6383 0.1875 0.5737
9 La 0.8331 0.9543 0.2452
10 La 0.6988 0.1674 0.9379
11 Ag 0.0538 0.6201 0.2746
12 Ag 0.4462 0.1201 0.2254
13 Ru 0.0000 0.0000 0.0000
14 La 0.1383 0.3125 0.0737
15 Ag 0.5538 0.8799 0.7746
16 La 0.3012 0.8326 0.0621
17 Ag 0.9462 0.3799 0.7254
18 Ag 0.5000 0.5000 0.0000
19 Ag 0.0000 0.0000 0.5000
20 La 0.6669 0.4543 0.2548

Properties
Energy relative to the elements   -0.183 eV per atom

Record 18
DFT (PBE) results for La6Ag2Ru after structural relaxation.

Cell: 6.5109 9.1621 9.3863 Å, 90.00 90.00 87.13°
Fractional coordinates of all 18 atoms:
1 Ag 0.3551 0.2502 0.0980
2 Ru 0.5000 0.0000 0.5000
3 Ag 0.6449 0.7498 0.9020
4 La 0.4137 0.0361 0.8059
5 La 0.4027 0.4592 0.8327
6 La 0.8922 0.2255 0.9728
7 La 0.1078 0.7745 0.0272
8 La 0.9027 0.9592 0.6673
9 Ag 0.8551 0.7502 0.4020
10 Ag 0.1449 0.2498 0.5980
11 La 0.0863 0.4639 0.3059
12 La 0.5863 0.9639 0.1941
13 La 0.0973 0.0408 0.3327
14 La 0.9137 0.5361 0.6941
15 La 0.3922 0.7255 0.5272
16 La 0.6078 0.2745 0.4728
17 La 0.5973 0.5408 0.1673
18 Ru 0.0000 0.5000 0.0000

Properties
Excess energy over the best structure of this formula in the dataset   0.0 meV/atom
Energy relative to the elements   -0.196 eV per atom

Record 19
DFT (PBE) results for La2AgRu after structural relaxation.

Cell: 4.1473 4.1473 8.0563 Å, 75.09 75.09 60.00°
Fractional coordinates of all 4 atoms:
1 Ru 0.2500 0.2500 0.2500
2 La 0.5157 0.5157 0.4528
3 La 0.9843 0.9843 0.0472
4 Ag 0.7500 0.7500 0.7500

Properties
Energy relative to the elements   -0.189 eV per atom

Record 20
DFT (PBE) results for LaAgRu after structural relaxation.

Cell: 4.7176 4.7176 4.7176 Å, 60.00 60.00 60.00°
Fractional coordinates of all 3 atoms:
1 Ru 0.0000 0.0000 0.0000
2 La 0.2500 0.2500 0.2500
3 Ag 0.5000 0.5000 0.5000

Properties
Excess energy over the best structure of this formula in the dataset   565.1 meV/atom
Energy relative to the elements   0.683 eV per atom

no.,final energy (eV/atom)
1,-4.499
2,-4.902
3,-6.200
4,-5.223
5,-4.535
6,-6.014
7,-3.901
8,-4.629
9,-4.762
10,-4.606
11,-5.595
12,-6.108
13,-6.129
14,-5.536
15,-4.984
16,-4.868
17,-4.923
18,-5.145
19,-5.684
20,-5.002